[1]
This record from Alexandria via LeMat-Bulk describes a relaxed structure of Tb2HOs. The functional is PBE.

a = 3.9846 Å, b = 3.9846 Å, c = 6.3046 Å
α = 71.58°, β = 71.58°, γ = 60.00°
With the nearest neighbours (Å) after each atom.
Sites, in units of the cell vectors:
Tb 0.7536 0.7536 0.7392  3 H 2.70, 3 Os 2.76
Tb 0.2464 0.2464 0.2608  3 H 2.70, 3 Os 2.76
Os 0.0000 0.0000 0.0000  6 Tb 2.76
H 0.5000 0.5000 0.5000  6 Tb 2.70

## Properties
Space-group type   R-3m
Raw total energy   -23.99 eV for the cell shown
Fermi-level density of states   3.22 states/eV/cell
E above lowest polymorph   75.9 meV per atom

[2]
This record from Alexandria via LeMat-Bulk describes a relaxed structure of RbSc2Nb. The functional is PBE.

a = 5.2561 Å, b = 5.2561 Å, c = 5.2561 Å
α = 60.00°, β = 60.00°, γ = 60.00°
With the nearest neighbours (Å) after each atom.
Sites, in units of the cell vectors:
Sc 0.7500 0.7500 0.7500  4 Nb 3.22, 4 Rb 3.22
Sc 0.2500 0.2500 0.2500  4 Nb 3.22, 4 Rb 3.22
Rb 0.0000 0.0000 0.0000  8 Sc 3.22
Nb 0.5000 0.5000 0.5000  8 Sc 3.22

## Properties
Space-group type   Fm-3m
Raw total energy   -19.60 eV for the cell shown
Fermi-level density of states   7.01 states/eV/cell
Calculated formation energy   1.03 eV/atom
E above lowest polymorph   519.1 meV per atom